1.
! EuSiRh2 PBE optimized geometry; values from VASP
! Space group   R-3m (166)
! Size of the total moment   6.92 Bohr magnetons per cell
! Formation energy (no corrections)   -0.692 eV per atom
! DFT total energy   -33.17 eV/f.u.
&SYSTEM
  ibrav = 0, nat = 4, ntyp = 3
/
ATOMIC_SPECIES
Eu 151.96 Eu.upf
Si 28.09 Si.upf
Rh 102.91 Rh.upf
ATOMIC_POSITIONS crystal
Eu 0.0000 0.0000 0.0000
Si 0.5000 0.5000 0.5000
Rh 0.2075 0.2075 0.2075
Rh 0.7925 0.7925 0.7925
CELL_PARAMETERS angstrom
2.0571 1.1877 5.2393
-2.0571 1.1877 5.2393
0.0000 -2.3753 5.2393

---

2.
! GaHgI PBE optimized geometry; values from VASP
! Space group   P2_1/c (14)
! Size of the total moment   0.00 Bohr magnetons per cell
! Formation energy (no corrections)   -0.209 eV per atom
! DFT total energy   -5.51 eV/f.u.
! E above lowest polymorph   0.012 eV per formula unit
&SYSTEM
  ibrav = 0, nat = 12, ntyp = 3
/
ATOMIC_SPECIES
Ga 69.72 Ga.upf
Hg 200.59 Hg.upf
I 126.90 I.upf
ATOMIC_POSITIONS crystal
Ga 0.0017 0.2154 0.4944
Ga 0.0017 0.2846 0.9944
Ga 0.9983 0.7154 0.0056
Ga 0.9983 0.7846 0.5056
Hg 0.4979 0.1628 0.9882
Hg 0.4979 0.3372 0.4882
Hg 0.5021 0.6628 0.5118
Hg 0.5021 0.8372 0.0118
I 0.2128 0.5021 0.9998
I 0.2128 0.9979 0.4998
I 0.7872 0.0021 0.5002
I 0.7872 0.4979 0.0002
CELL_PARAMETERS angstrom
9.8969 0.0000 0.0000
0.0000 9.0705 0.0000
-0.0010 0.0000 5.0509

---

3.
! Al2Pt5 PBE optimized geometry; values from VASP
! Space group   C2/c (15)
! Size of the total moment   0.00 Bohr magnetons per cell
! DFT total energy   -42.44 eV/f.u.
! DFT formation energy   -458 kJ/mol of formula units
&SYSTEM
  ibrav = 0, nat = 14, ntyp = 2
/
ATOMIC_SPECIES
Al 26.98 Al.upf
Pt 195.08 Pt.upf
ATOMIC_POSITIONS crystal
Al 0.1121 0.6554 0.0001
Al 0.3446 0.8879 0.4999
Al 0.6554 0.1121 0.5001
Al 0.8879 0.3446 0.9999
Pt 0.0704 0.7399 0.5045
Pt 0.2601 0.9296 0.9955
Pt 0.2709 0.2726 0.7486
Pt 0.2726 0.2709 0.2486
Pt 0.4965 0.5035 0.2500
Pt 0.5035 0.4965 0.7500
Pt 0.7274 0.7291 0.7514
Pt 0.7291 0.7274 0.2514
Pt 0.7399 0.0704 0.0045
Pt 0.9296 0.2601 0.4955
CELL_PARAMETERS angstrom
6.1843 -3.1354 0.0000
6.1843 3.1354 0.0000
-0.0220 0.0000 5.5612

---

4.
! YSb2Ru PBE optimized geometry; values from VASP
! Space group   Cmmm (65)
! Size of the total moment   0.00 Bohr magnetons per cell
! Formation energy (no corrections)   -0.279 eV per atom
! DFT total energy   -25.10 eV/f.u.
&SYSTEM
  ibrav = 0, nat = 4, ntyp = 3
/
ATOMIC_SPECIES
Y 88.91 Y.upf
Sb 121.76 Sb.upf
Ru 101.07 Ru.upf
ATOMIC_POSITIONS crystal
Y 0.0000 0.0000 0.0000
Sb 0.5000 0.5000 0.2887
Sb 0.5000 0.5000 0.7113
Ru 0.0000 0.0000 0.5000
CELL_PARAMETERS angstrom
2.3003 -2.4544 0.0000
2.3003 2.4544 0.0000
0.0000 0.0000 7.6182

---

5.
! CeNd2Cd4 PBE optimized geometry; values from VASP
! Space group   R-3m (166)
! Size of the total moment   1.36 Bohr magnetons per cell
! DFT total energy   -19.61 eV/f.u.
! DFT formation energy   -46 kJ/mol of formula units
&SYSTEM
  ibrav = 0, nat = 7, ntyp = 3
/
ATOMIC_SPECIES
Ce 140.12 Ce.upf
Nd 144.24 Nd.upf
Cd 112.41 Cd.upf
ATOMIC_POSITIONS crystal
Ce 0.0000 0.0000 0.0000
Nd 0.2493 0.2493 0.2493
Nd 0.7507 0.7507 0.7507
Cd 0.1259 0.1259 0.1259
Cd 0.3815 0.3815 0.3815
Cd 0.6185 0.6185 0.6185
Cd 0.8741 0.8741 0.8741
CELL_PARAMETERS angstrom
2.6693 1.5411 8.6899
-2.6693 1.5411 8.6899
0.0000 -3.0823 8.6899

---

6.
! LaZrPt PBE optimized geometry; values from VASP
! Space group   I4mm (107)
! Size of the total moment   0.00 Bohr magnetons per cell
! DFT total energy   -21.36 eV/f.u.
! DFT formation energy   -178 kJ/mol of formula units
! E above lowest polymorph   0.611 eV per formula unit
&SYSTEM
  ibrav = 0, nat = 3, ntyp = 3
/
ATOMIC_SPECIES
La 138.91 La.upf
Zr 91.22 Zr.upf
Pt 195.08 Pt.upf
ATOMIC_POSITIONS crystal
La 0.0000 0.0000 0.0000
Zr 0.7150 0.7150 0.0000
Pt 0.3122 0.3122 0.0000
CELL_PARAMETERS angstrom
-1.7556 1.7556 6.0918
1.7556 -1.7556 6.0918
1.7556 1.7556 -6.0918

---

7.
! CrCoSe3 PBE optimized geometry; values from VASP
! Space group   Pm-3m (221)
! Size of the total moment   0.00 Bohr magnetons per cell
! Formation energy (no corrections)   0.827 eV per atom
! DFT total energy   -23.05 eV/f.u.
! E above lowest polymorph   5.890 eV per formula unit
&SYSTEM
  ibrav = 0, nat = 5, ntyp = 3
/
ATOMIC_SPECIES
Cr 52.00 Cr.upf
Co 58.93 Co.upf
Se 78.96 Se.upf
ATOMIC_POSITIONS crystal
Cr 0.0000 0.0000 0.0000
Co 0.5000 0.5000 0.5000
Se 0.0000 0.0000 0.5000
Se 0.0000 0.5000 0.0000
Se 0.5000 0.0000 0.0000
CELL_PARAMETERS angstrom
4.6670 0.0000 0.0000
0.0000 4.6670 0.0000
0.0000 0.0000 4.6670

---

8.
! HfCuTc2 PBE optimized geometry; values from VASP
! Space group   Fm-3m (225)
! Size of the total moment   0.00 Bohr magnetons per cell
! DFT total energy   -34.13 eV/f.u.
! DFT formation energy   63 kJ/mol of formula units
! E above lowest polymorph   0.000 eV per formula unit
&SYSTEM
  ibrav = 0, nat = 4, ntyp = 3
/
ATOMIC_SPECIES
Hf 178.49 Hf.upf
Cu 63.55 Cu.upf
Tc 98.00 Tc.upf
ATOMIC_POSITIONS crystal
Hf 0.0000 0.0000 0.0000
Cu 0.5000 0.5000 0.5000
Tc 0.2500 0.2500 0.2500
Tc 0.7500 0.7500 0.7500
CELL_PARAMETERS angstrom
0.0000 3.1408 3.1408
3.1408 0.0000 3.1408
3.1408 3.1408 0.0000

---

9.
! Y5ScHg4 PBE optimized geometry; values from VASP
! Space group   P4/mmm (123)
! Size of the total moment   0.00 Bohr magnetons per cell
! DFT total energy   -43.73 eV/f.u.
! DFT formation energy   -374 kJ/mol of formula units
&SYSTEM
  ibrav = 0, nat = 10, ntyp = 3
/
ATOMIC_SPECIES
Y 88.91 Y.upf
Sc 44.96 Sc.upf
Hg 200.59 Hg.upf
ATOMIC_POSITIONS crystal
Y 0.0000 0.0000 0.0000
Y 0.0000 0.0000 0.1933
Y 0.0000 0.0000 0.3896
Y 0.0000 0.0000 0.6104
Y 0.0000 0.0000 0.8067
Sc 0.5000 0.5000 0.5000
Hg 0.5000 0.5000 0.0968
Hg 0.5000 0.5000 0.2928
Hg 0.5000 0.5000 0.7072
Hg 0.5000 0.5000 0.9032
CELL_PARAMETERS angstrom
3.6749 0.0000 0.0000
0.0000 3.6749 0.0000
0.0000 0.0000 19.6323

---

10.
! YPuTlPb PBE optimized geometry; values from VASP
! Space group   P4mm (99)
! Size of the total moment   6.10 Bohr magnetons per cell
! DFT total energy   -27.74 eV/f.u.
! DFT formation energy   -84 kJ/mol of formula units
&SYSTEM
  ibrav = 0, nat = 4, ntyp = 4
/
ATOMIC_SPECIES
Y 88.91 Y.upf
Pu 244.00 Pu.upf
Tl 204.38 Tl.upf
Pb 207.20 Pb.upf
ATOMIC_POSITIONS crystal
Y 0.0000 0.0000 0.0000
Pu 0.0000 0.0000 0.4986
Tl 0.5000 0.5000 0.7576
Pb 0.5000 0.5000 0.2410
CELL_PARAMETERS angstrom
3.9335 0.0000 0.0000
0.0000 3.9335 0.0000
0.0000 0.0000 7.2974

---

11.
! Ti2Ga6Ir PBE optimized geometry; values from VASP
! Space group   Cmmm (65)
! Size of the total moment   0.00 Bohr magnetons per cell
! DFT total energy   -45.75 eV/f.u.
! DFT formation energy   -284 kJ/mol of formula units
&SYSTEM
  ibrav = 0, nat = 9, ntyp = 3
/
ATOMIC_SPECIES
Ti 47.87 Ti.upf
Ga 69.72 Ga.upf
Ir 192.22 Ir.upf
ATOMIC_POSITIONS crystal
Ti 0.2168 0.7832 0.0000
Ti 0.7832 0.2168 0.0000
Ga 0.1436 0.4453 0.5000
Ga 0.2829 0.2829 0.0000
Ga 0.4453 0.1436 0.5000
Ga 0.5547 0.8564 0.5000
Ga 0.7171 0.7171 0.0000
Ga 0.8564 0.5547 0.5000
Ir 0.0000 0.0000 0.5000
CELL_PARAMETERS angstrom
3.0462 -6.0492 0.0000
3.0462 6.0492 0.0000
0.0000 0.0000 3.9846

---

12.
! Mn2NiRhC PBE optimized geometry; values from VASP
! Space group   P4/mmm (123)
! Size of the total moment   5.33 Bohr magnetons per cell
! DFT total energy   -40.36 eV/f.u.
! DFT formation energy   33 kJ/mol of formula units
&SYSTEM
  ibrav = 0, nat = 5, ntyp = 4
/
ATOMIC_SPECIES
Mn 54.94 Mn.upf
Ni 58.69 Ni.upf
Rh 102.91 Rh.upf
C 12.01 C.upf
ATOMIC_POSITIONS crystal
Mn 0.0000 0.5000 0.0000
Mn 0.5000 0.0000 0.0000
Ni 0.0000 0.0000 0.5000
Rh 0.5000 0.5000 0.5000
C 0.0000 0.0000 0.0000
CELL_PARAMETERS angstrom
3.8641 0.0000 0.0000
0.0000 3.8641 0.0000
0.0000 0.0000 3.7824